# 1
Density functional theory data (PBE) for a geometry-optimized NdSmSb2 structure.

Calculated values
Fermi-level density of states, states/eV/atom: 0.097
Uncorrected formation energy, meV per atom: -1061
Energy above the most stable polymorph in this dataset, meV/atom: 123
Total magnetization, μB per cell: 0.00
Theoretical density, g cm⁻³: 6.78

Cell lengths 4.4604, 4.4604, 22.9321 Å; angles 90.00, 90.00, 120.00 degrees
Space group R3m (No. 160, hexagonal axes)
One atom of each set of equivalent atoms:
1 Nd 0.0000 0.0000 0.0000 [3 per cell]
2 Sm 0.0000 0.0000 0.8288 [3 per cell]
3 Sb 0.0000 0.0000 0.4142 [3 per cell]
4 Sb 0.0000 0.0000 0.5810 [3 per cell]

---

# 2
Density functional theory data (PBE) for a geometry-optimized NiPPt structure.

Calculated values
Fermi-level density of states, states/eV/atom: 0.472
Total magnetization, μB per cell: 0.00
Formation energy, eV per atom: -0.0900
Theoretical density, g cm⁻³: 10.05

Cell lengths 6.4440, 3.7251, 8.1012 Å; angles 90.00, 104.57, 90.00 degrees
Space group C2/m (No. 12)
One atom of each set of equivalent atoms:
1 Ni 0.1000 0.0000 0.3167 [4 per cell]
2 P 0.2120 0.0000 0.6155 [4 per cell]
3 Pt 0.1971 0.5000 0.0970 [4 per cell]

---

# 3
Density functional theory data (PBE) for a geometry-optimized Ti2CoSb structure.

Calculated values
Fermi-level density of states, states/eV/atom: 0.860
Uncorrected formation energy, meV per atom: -112
Total magnetization, μB per cell: 0.00
Theoretical density, g cm⁻³: 6.63

Cell lengths 7.1096, 7.1096, 5.4783 Å; angles 90.00, 90.00, 90.00 degrees
Space group I-42d (No. 122)
One atom of each set of equivalent atoms:
1 Ti 0.1887 0.2500 0.1250 [8 per cell]
2 Co 0.0000 0.0000 0.0000 [4 per cell]
3 Sb 0.0000 0.0000 0.5000 [4 per cell]

---

Please write out number 3 again, unchanged.
Density functional theory data (PBE) for a geometry-optimized Ti2CoSb structure.

Calculated values
Fermi-level density of states, states/eV/atom: 0.860
Uncorrected formation energy, meV per atom: -112
Total magnetization, μB per cell: 0.00
Theoretical density, g cm⁻³: 6.63

Cell lengths 7.1096, 7.1096, 5.4783 Å; angles 90.00, 90.00, 90.00 degrees
Space group I-42d (No. 122)
One atom of each set of equivalent atoms:
1 Ti 0.1887 0.2500 0.1250 [8 per cell]
2 Co 0.0000 0.0000 0.0000 [4 per cell]
3 Sb 0.0000 0.0000 0.5000 [4 per cell]

---

Look up the theoretical density of the first one. 6.78 g cm⁻³

---

theoretical density of number 2 (NiPPt)? 10.05 g cm⁻³